# 1
Li2TmIO6 GGA-PBE optimized geometry; SG = R3 (146); Fermi-level density of states = 0.000 states/eV per atom; uncorrected formation energy = -1.754 eV per atom
1.0
-3.3931 0.4850 -4.0074
-4.3833 -2.9297 -0.1129
-4.9261 2.5855 1.0144
Li Tm I O
2 1 1 6
Direct
0.5443 0.5444 0.3668
0.0257 0.0257 0.9231
0.8142 0.8143 0.5572
0.3220 0.3220 0.0341
0.5633 0.2218 0.2524
0.2218 0.9626 0.2524
0.9626 0.5632 0.2524
0.4074 0.6877 0.7923
0.6877 0.1126 0.7923
0.1127 0.4074 0.7923

# 2
LiTm2IO6 GGA-PBE optimized geometry; SG = P1 (1); Fermi-level density of states = 0.000 states/eV per atom; uncorrected formation energy = -2.204 eV per atom
1.0
5.8308 0.1569 -0.0081
3.0512 5.0251 0.0292
2.9540 1.7596 5.0287
Li Tm I O
1 2 1 6
Direct
0.8978 0.8138 0.6239
0.5328 0.5171 0.4070
0.0061 0.0212 0.9722
0.3123 0.3330 0.0271
0.5921 0.2640 0.2084
0.1884 0.8897 0.2711
0.9223 0.6062 0.1996
0.3666 0.6814 0.7730
0.6975 0.1465 0.7625
0.1456 0.3888 0.7706